1.
{
  "formula": "MgTlSi2",
  "functional": "PBE-GGA",
  "state": "relaxed",
  "cell": [[3.159, 0.000, 0.000], [0.000, 4.008, 0.000], [0.000, 0.000, 6.968]],
  "species": ["Mg", "Tl", "Si", "Si"],
  "fractional_positions": [[0.000, 0.000, 0.000], [0.000, 0.000, 0.500], [0.500, 0.500, 0.175], [0.500, 0.500, 0.825]],
  "relative_energy_kj_per_mol_atoms": 12.5,
  "formation_energy_uncorrected_ev_per_atom": 0.287
}



2.
{
  "formula": "Sc2WBr",
  "functional": "PBE-GGA",
  "state": "relaxed",
  "cell": [[3.104, 0.000, 0.000], [0.000, 4.796, 0.000], [0.000, 0.000, 5.638]],
  "species": ["Sc", "Sc", "W", "Br"],
  "fractional_positions": [[0.000, 0.000, 0.000], [0.500, 0.500, 0.373], [0.000, 0.000, 0.469], [0.500, 0.500, 0.885]],
  "relative_energy_kj_per_mol_atoms": 39.5,
  "formation_energy_uncorrected_ev_per_atom": 0.139
}



3.
{
  "formula": "Th3Si2Tc3",
  "functional": "PBE-GGA",
  "state": "relaxed",
  "cell": [[7.468, 0.000, 0.000], [0.000, 15.332, 0.000], [0.000, 0.000, 5.803]],
  "species": ["Th", "Th", "Th", "Th", "Th", "Th", "Th", "Th", "Th", "Th", "Th", "Th", "Si", "Si", "Si", "Si", "Si", "Si", "Si", "Si", "Tc", "Tc", "Tc", "Tc", "Tc", "Tc", "Tc", "Tc", "Tc", "Tc", "Tc", "Tc"],
  "fractional_positions": [[0.029, 0.109, 0.143], [0.029, 0.391, 0.143], [0.177, 0.250, 0.619], [0.323, 0.750, 0.119], [0.471, 0.609, 0.643], [0.471, 0.891, 0.643], [0.529, 0.109, 0.357], [0.529, 0.391, 0.357], [0.677, 0.250, 0.881], [0.823, 0.750, 0.381], [0.971, 0.609, 0.857], [0.971, 0.891, 0.857], [0.109, 0.603, 0.364], [0.109, 0.897, 0.364], [0.391, 0.103, 0.864], [0.391, 0.397, 0.864], [0.609, 0.603, 0.136], [0.609, 0.897, 0.136], [0.891, 0.103, 0.636], [0.891, 0.397, 0.636], [0.170, 0.750, 0.577], [0.186, 0.029, 0.595], [0.186, 0.471, 0.595], [0.314, 0.529, 0.095], [0.314, 0.971, 0.095], [0.330, 0.250, 0.077], [0.670, 0.750, 0.923], [0.686, 0.029, 0.905], [0.686, 0.471, 0.905], [0.814, 0.529, 0.405], [0.814, 0.971, 0.405], [0.830, 0.250, 0.423]],
  "relative_energy_kj_per_mol_atoms": 0.0,
  "formation_energy_uncorrected_ev_per_atom": -0.508
}



4.
{
  "formula": "NbBiCl2",
  "functional": "PBE-GGA",
  "state": "relaxed",
  "cell": [[0.000, 3.471, 3.471], [3.471, 0.000, 3.471], [3.471, 3.471, 0.000]],
  "species": ["Nb", "Bi", "Cl", "Cl"],
  "fractional_positions": [[0.000, 0.000, 0.000], [0.500, 0.500, 0.500], [0.250, 0.250, 0.250], [0.750, 0.750, 0.750]],
  "relative_energy_kj_per_mol_atoms": 93.7,
  "formation_energy_uncorrected_ev_per_atom": 0.371
}



5.
{
  "formula": "LaPr2Mg2",
  "functional": "PBE-GGA",
  "state": "relaxed",
  "cell": [[3.921, 0.000, 0.000], [0.000, 5.653, 0.000], [-1.967, 0.000, 14.385]],
  "species": ["La", "La", "Pr", "Pr", "Pr", "Pr", "Mg", "Mg", "Mg", "Mg"],
  "fractional_positions": [[0.149, 0.250, 0.297], [0.851, 0.750, 0.703], [0.046, 0.750, 0.092], [0.236, 0.750, 0.473], [0.764, 0.250, 0.527], [0.954, 0.250, 0.908], [0.359, 0.250, 0.719], [0.449, 0.750, 0.899], [0.551, 0.250, 0.101], [0.641, 0.750, 0.281]],
  "formation_energy_ev_per_atom": -0.083
}



6.
{
  "formula": "Tb3Dy4Ho5",
  "functional": "PBE-GGA",
  "state": "relaxed",
  "cell": [[6.115, 0.000, 0.000], [-0.017, 7.063, 0.000], [-0.020, -0.004, 8.641]],
  "species": ["Tb", "Tb", "Tb", "Dy", "Dy", "Dy", "Dy", "Ho", "Ho", "Ho", "Ho", "Ho"],
  "fractional_positions": [[0.000, 0.000, 0.000], [0.167, 0.750, 0.667], [0.833, 0.250, 0.333], [0.167, 0.250, 0.667], [0.333, 0.500, 0.333], [0.667, 0.500, 0.667], [0.833, 0.750, 0.333], [0.000, 0.500, 0.000], [0.334, 0.000, 0.333], [0.500, 0.250, 0.000], [0.500, 0.750, 0.000], [0.666, 0.000, 0.667]],
  "relative_energy_kj_per_mol_atoms": 0.0,
  "formation_energy_ev_per_atom": 0.017
}